1.
{
  "formula": "SrSc2",
  "functional": "GGA-PBE",
  "state": "relaxed",
  "lattice_angstrom": [[7.691, -0.079, 0.000], [6.023, 4.784, 0.000], [-6.857, -2.353, 2.570]],
  "species": ["Sc", "Sc", "Sr"],
  "fractional_positions": [[0.688, 0.688, 0.000], [0.312, 0.312, 0.000], [0.000, 0.000, 0.000]],
  "formation_enthalpy_0k_ev_per_atom": 0.2448,
  "vol_a3_per_cell": 96,
  "spacegroup": "No. 139",
  "relative_energy_ev_per_fu": 0.10
}



2.
{
  "formula": "Sr3Sc",
  "functional": "GGA-PBE",
  "state": "relaxed",
  "lattice_angstrom": [[5.625, 0.000, 0.000], [0.000, 5.625, 0.000], [0.000, 0.000, 5.625]],
  "species": ["Sr", "Sr", "Sr", "Sc"],
  "fractional_positions": [[0.500, 0.000, 0.500], [0.500, 0.500, 0.000], [0.000, 0.500, 0.500], [0.000, 0.000, 0.000]],
  "formation_enthalpy_0k_ev_per_atom": 0.2920,
  "vol_a3_per_cell": 178,
  "spacegroup": "No. 221",
  "relative_energy_ev_per_fu": 0.34
}



3.
{
  "formula": "Sr3Sc",
  "functional": "GGA-PBE",
  "state": "relaxed",
  "lattice_angstrom": [[-0.620, 6.024, 3.184], [-5.465, 3.250, -2.527], [0.741, -6.344, 2.453]],
  "species": ["Sc", "Sr", "Sr", "Sr"],
  "fractional_positions": [[0.000, 0.000, 0.000], [0.500, 0.500, 0.000], [0.250, 0.750, 0.500], [0.750, 0.250, 0.500]],
  "formation_enthalpy_0k_ev_per_atom": 0.2880,
  "vol_a3_per_cell": 177,
  "spacegroup": "No. 139",
  "relative_energy_ev_per_fu": 0.33
}



4.
{
  "formula": "Sr2Sc3",
  "functional": "GGA-PBE",
  "state": "relaxed",
  "lattice_angstrom": [[-9.013, -4.865, 0.918], [-8.507, 0.590, -3.104], [-0.790, -6.194, -2.682]],
  "species": ["Sr", "Sr", "Sr", "Sr", "Sc", "Sc", "Sc", "Sc", "Sc", "Sc"],
  "fractional_positions": [[0.710, 0.892, 0.380], [0.358, 0.540, 0.233], [0.017, 0.380, 0.892], [0.870, 0.233, 0.540], [0.250, 0.250, 0.250], [0.338, 0.461, 0.766], [0.000, 0.000, 0.000], [0.484, 0.815, 0.912], [0.435, 0.766, 0.461], [0.789, 0.912, 0.815]],
  "formation_enthalpy_0k_ev_per_atom": 0.3714,
  "vol_a3_per_cell": 335,
  "spacegroup": "No. 43"
}



5.
{
  "formula": "SrSc5",
  "functional": "GGA-PBE",
  "state": "relaxed",
  "lattice_angstrom": [[-3.006, 0.611, -1.572], [-1.656, -1.673, 2.517], [-1.295, 12.069, 7.170]],
  "species": ["Sc", "Sc", "Sc", "Sc", "Sc", "Sr"],
  "fractional_positions": [[0.000, 0.000, 0.204], [0.000, 0.000, 0.500], [0.500, 0.500, 0.652], [0.000, 0.000, 0.796], [0.500, 0.500, 0.348], [0.500, 0.500, 0.000]],
  "formation_enthalpy_0k_ev_per_atom": 0.1686,
  "vol_a3_per_cell": 167,
  "spacegroup": "No. 123",
  "relative_energy_ev_per_fu": 0.00
}



6.
{
  "formula": "SrSc2",
  "functional": "GGA-PBE",
  "state": "relaxed",
  "lattice_angstrom": [[1.823, 6.372, 0.005], [-1.823, 6.372, 0.005], [0.000, 2.948, 8.302]],
  "species": ["Sc", "Sc", "Sc", "Sc", "Sr", "Sr"],
  "fractional_positions": [[0.650, 0.650, 0.974], [0.350, 0.350, 0.026], [0.031, 0.031, 0.790], [0.969, 0.969, 0.210], [0.340, 0.340, 0.621], [0.660, 0.660, 0.379]],
  "formation_enthalpy_0k_ev_per_atom": 0.2130,
  "vol_a3_per_cell": 193,
  "spacegroup": "No. 12",
  "relative_energy_ev_per_fu": 0.00
}



7.
{
  "formula": "Sr3Sc",
  "functional": "GGA-PBE",
  "state": "relaxed",
  "lattice_angstrom": [[6.093, 0.000, 0.000], [0.000, 3.852, 0.030], [0.000, 1.544, 7.379]],
  "species": ["Sc", "Sr", "Sr", "Sr"],
  "fractional_positions": [[0.000, 0.000, 0.000], [0.500, 0.773, 0.767], [0.000, 0.500, 0.500], [0.500, 0.227, 0.233]],
  "formation_enthalpy_0k_ev_per_atom": 0.2726,
  "vol_a3_per_cell": 173,
  "spacegroup": "No. 10",
  "relative_energy_ev_per_fu": 0.26
}



8.
{
  "formula": "Sr4Sc",
  "functional": "GGA-PBE",
  "state": "relaxed",
  "lattice_angstrom": [[-3.657, 5.256, -1.069], [-4.317, -3.652, -3.189], [-3.183, -1.086, 5.553]],
  "species": ["Sr", "Sr", "Sr", "Sr", "Sc"],
  "fractional_positions": [[0.500, 0.500, 0.000], [0.000, 0.500, 0.500], [0.000, 0.000, 0.000], [0.500, 0.000, 0.500], [0.500, 0.500, 0.500]],
  "formation_enthalpy_0k_ev_per_atom": 0.4788,
  "vol_a3_per_cell": 274,
  "spacegroup": "No. 221",
  "relative_energy_ev_per_fu": 1.23
}



9.
{
  "formula": "SrSc2",
  "functional": "GGA-PBE",
  "state": "relaxed",
  "lattice_angstrom": [[-5.016, -4.178, -0.992], [1.101, -5.871, -2.813], [-0.459, -5.521, 3.593]],
  "species": ["Sr", "Sr", "Sc", "Sc", "Sc", "Sc"],
  "fractional_positions": [[0.250, 0.250, 0.250], [0.000, 0.000, 0.000], [0.625, 0.125, 0.625], [0.625, 0.625, 0.125], [0.125, 0.625, 0.625], [0.625, 0.625, 0.625]],
  "formation_enthalpy_0k_ev_per_atom": 0.3042,
  "vol_a3_per_cell": 204,
  "spacegroup": "No. 227",
  "relative_energy_ev_per_fu": 0.27
}



10.
{
  "formula": "SrSc5",
  "functional": "GGA-PBE",
  "state": "relaxed",
  "lattice_angstrom": [[1.708, 6.217, 0.020], [-1.708, 6.217, 0.020], [0.000, 1.960, 7.803]],
  "species": ["Sc", "Sc", "Sc", "Sc", "Sc", "Sr"],
  "fractional_positions": [[0.653, 0.653, 0.650], [0.951, 0.951, 0.591], [0.605, 0.605, 0.291], [0.007, 0.007, 0.017], [0.335, 0.335, 0.346], [0.282, 0.282, 0.938]],
  "formation_enthalpy_0k_ev_per_atom": 0.1759,
  "vol_a3_per_cell": 166,
  "spacegroup": "No. 8",
  "relative_energy_ev_per_fu": 0.04
}



11.
{
  "formula": "Sr7Sc",
  "functional": "GGA-PBE",
  "state": "relaxed",
  "lattice_angstrom": [[6.540, -4.477, -2.259], [-0.773, -8.120, -1.178], [0.428, -3.118, -7.617]],
  "species": ["Sr", "Sr", "Sr", "Sr", "Sr", "Sr", "Sr", "Sc"],
  "fractional_positions": [[0.500, 0.000, 0.500], [0.000, 0.500, 0.000], [0.500, 0.000, 0.000], [0.000, 0.500, 0.500], [0.500, 0.500, 0.000], [0.500, 0.500, 0.500], [0.000, 0.000, 0.500], [0.000, 0.000, 0.000]],
  "formation_enthalpy_0k_ev_per_atom": 0.1663,
  "vol_a3_per_cell": 396,
  "spacegroup": "No. 225"
}



12.
{
  "formula": "SrSc2",
  "functional": "GGA-PBE",
  "state": "relaxed",
  "lattice_angstrom": [[-3.434, 1.407, 1.757], [1.092, -1.761, 3.544], [3.081, 5.374, 1.720]],
  "species": ["Sc", "Sc", "Sr"],
  "fractional_positions": [[0.500, 0.000, 0.500], [0.000, 0.500, 0.500], [0.000, 0.000, 0.000]],
  "formation_enthalpy_0k_ev_per_atom": 0.5319,
  "vol_a3_per_cell": 108,
  "spacegroup": "No. 123",
  "relative_energy_ev_per_fu": 0.96
}



13.
{
  "formula": "SrSc5",
  "functional": "GGA-PBE",
  "state": "relaxed",
  "lattice_angstrom": [[1.682, -9.176, 0.000], [1.682, 9.176, 0.000], [0.000, 0.000, 5.355]],
  "species": ["Sc", "Sc", "Sc", "Sc", "Sc", "Sr"],
  "fractional_positions": [[0.683, 0.317, 0.000], [0.784, 0.216, 0.500], [0.990, 0.010, 0.000], [0.432, 0.568, 0.500], [0.336, 0.664, 0.000], [0.108, 0.892, 0.500]],
  "formation_enthalpy_0k_ev_per_atom": 0.1885,
  "vol_a3_per_cell": 165,
  "spacegroup": "No. 38",
  "relative_energy_ev_per_fu": 0.12
}



14.
{
  "formula": "Sr3Sc",
  "functional": "GGA-PBE",
  "state": "relaxed",
  "lattice_angstrom": [[-7.995, -1.894, 10.291], [-5.009, -4.277, 11.403], [-4.864, -0.389, 12.231]],
  "species": ["Sr", "Sr", "Sr", "Sc"],
  "fractional_positions": [[0.260, 0.260, 0.260], [0.500, 0.500, 0.500], [0.740, 0.740, 0.740], [0.000, 0.000, 0.000]],
  "formation_enthalpy_0k_ev_per_atom": 0.2502,
  "vol_a3_per_cell": 178,
  "spacegroup": "No. 166",
  "relative_energy_ev_per_fu": 0.17
}



15.
{
  "formula": "Sr3Sc",
  "functional": "GGA-PBE",
  "state": "relaxed",
  "lattice_angstrom": [[-3.313, -2.233, -5.033], [5.608, -3.441, -2.165], [-2.233, -6.331, 4.278]],
  "species": ["Sr", "Sr", "Sr", "Sr", "Sr", "Sr", "Sc", "Sc"],
  "fractional_positions": [[0.000, 0.647, 0.500], [0.000, 0.170, 0.248], [0.500, 0.830, 0.748], [0.500, 0.830, 0.252], [0.000, 0.170, 0.752], [0.500, 0.353, 0.000], [0.000, 0.668, 0.000], [0.500, 0.332, 0.500]],
  "formation_enthalpy_0k_ev_per_atom": 0.2763,
  "vol_a3_per_cell": 354,
  "spacegroup": "No. 59",
  "relative_energy_ev_per_fu": 0.28
}



16.
{
  "formula": "Sr3Sc",
  "functional": "GGA-PBE",
  "state": "relaxed",
  "lattice_angstrom": [[3.984, 0.000, 0.000], [-1.992, 3.450, 0.000], [0.000, 0.000, 12.943]],
  "species": ["Sr", "Sr", "Sr", "Sc"],
  "fractional_positions": [[0.667, 0.333, 0.224], [0.000, 0.000, 0.500], [0.667, 0.333, 0.776], [0.000, 0.000, 0.000]],
  "formation_enthalpy_0k_ev_per_atom": 0.2440,
  "vol_a3_per_cell": 178,
  "spacegroup": "No. 187",
  "relative_energy_ev_per_fu": 0.15
}



17.
{
  "formula": "SrSc2",
  "functional": "GGA-PBE",
  "state": "relaxed",
  "lattice_angstrom": [[5.643, 0.000, 0.000], [-2.821, 4.887, 0.000], [0.000, 0.000, 3.361]],
  "species": ["Sc", "Sc", "Sr"],
  "fractional_positions": [[0.333, 0.667, 0.682], [0.667, 0.333, 0.318], [0.000, 0.000, 0.000]],
  "formation_enthalpy_0k_ev_per_atom": 0.3828,
  "vol_a3_per_cell": 93,
  "spacegroup": "No. 164",
  "relative_energy_ev_per_fu": 0.51
}



18.
{
  "formula": "SrScTa2",
  "functional": "GGA-PBE",
  "state": "relaxed",
  "lattice_angstrom": [[4.541, 0.000, 0.000], [0.000, 3.090, 0.041], [0.000, 2.974, 7.172]],
  "species": ["Ta", "Ta", "Sr", "Sc"],
  "fractional_positions": [[0.000, 0.565, 0.434], [0.000, 0.935, 0.066], [0.500, 0.750, 0.750], [0.500, 0.250, 0.250]],
  "formation_enthalpy_0k_ev_per_atom": 0.6506,
  "vol_a3_per_cell": 100,
  "spacegroup": "No. 10",
  "relative_energy_ev_per_fu": 1.17
}



19.
{
  "formula": "SrScTa2",
  "functional": "GGA-PBE",
  "state": "relaxed",
  "lattice_angstrom": [[11.064, 0.008, 0.005], [10.612, 3.131, 0.005], [10.612, 1.537, 2.728]],
  "species": ["Ta", "Ta", "Sc", "Sr"],
  "fractional_positions": [[0.990, 0.990, 0.990], [0.252, 0.252, 0.252], [0.513, 0.513, 0.513], [0.744, 0.744, 0.744]],
  "formation_enthalpy_0k_ev_per_atom": 0.6352,
  "vol_a3_per_cell": 94,
  "spacegroup": "No. 160",
  "relative_energy_ev_per_fu": 1.11
}



20.
{
  "formula": "Sr4ScTa",
  "functional": "GGA-PBE",
  "state": "relaxed",
  "lattice_angstrom": [[0.000, 4.856, 4.856], [4.856, 0.000, 4.856], [4.856, 4.856, 0.000]],
  "species": ["Sr", "Sr", "Sr", "Sr", "Sc", "Ta"],
  "fractional_positions": [[0.873, 0.376, 0.376], [0.376, 0.376, 0.873], [0.376, 0.873, 0.376], [0.376, 0.376, 0.376], [0.000, 0.000, 0.000], [0.750, 0.750, 0.750]],
  "formation_enthalpy_0k_ev_per_atom": 1.1485,
  "vol_a3_per_cell": 229,
  "spacegroup": "No. 216"
}